[1]
Density functional theory data (PBE-GGA) for an optimized crystal structure of AcPmGdSi.

Computed properties:
Its uncorrected formation energy is 0.060 eV per atom.

Lattice parameters (Å, degrees): 5.440 5.440 5.440 60.00 60.00 60.00
Positions (direct):
Ac  0.000  0.000  0.000
Pm  0.250  0.250  0.250
Gd  0.750  0.750  0.750
Si  0.500  0.500  0.500

[2]
Density functional theory data (PBE-GGA) for an optimized crystal structure of ErTl3I6.

Computed properties:
Its uncorrected formation energy is -0.949 eV per atom.

Lattice parameters (Å, degrees): 8.202 9.106 14.029 90.00 121.65 90.00
Positions (direct):
Er  0.000  0.000  0.000
Er  0.000  0.500  0.500
Tl  0.308  0.096  0.770
Tl  0.308  0.404  0.270
Tl  0.500  0.000  0.500
Tl  0.500  0.500  0.000
Tl  0.692  0.596  0.730
Tl  0.692  0.904  0.230
I  0.089  0.057  0.234
I  0.089  0.443  0.734
I  0.232  0.719  0.078
I  0.232  0.781  0.578
I  0.355  0.167  0.051
I  0.355  0.333  0.551
I  0.645  0.667  0.449
I  0.645  0.833  0.949
I  0.768  0.219  0.422
I  0.768  0.281  0.922
I  0.911  0.557  0.266
I  0.911  0.943  0.766